a:
Compound: CuBPb
Source: Alexandria
Functional: GGA-PBE
Structure: optimized geometry

The structure in POSCAR format:
```
CuBPb
1.0
3.300 0.000 0.000
1.624 3.575 0.000
0.099 1.303 8.871
Cu B Pb
2 2 2
direct
0.233 0.040 0.389
0.767 0.960 0.611
0.249 0.500 0.502
0.751 0.500 0.498
0.104 0.285 0.833
0.896 0.715 0.167
```

Calculated values
Density ... 8.9 g/cm³
SG ... No. 2
Total magnetization ... 0.000 μB/atom

b:
Compound: CuBPb
Source: Alexandria
Functional: GGA-PBE
Structure: optimized geometry

The structure in POSCAR format:
```
CuBPb
1.0
3.973 0.000 0.000
-1.100 5.153 0.000
-1.313 -2.633 5.643
Cu B Pb
2 2 2
direct
0.055 0.265 0.001
0.945 0.735 0.999
0.408 0.622 0.000
0.592 0.378 0.000
0.353 0.842 0.690
0.647 0.158 0.310
```

Calculated values
Density ... 8.1 g/cm³
SG ... No. 2
Total magnetization ... 0.000 μB/atom

c:
Compound: CuBPb
Source: Alexandria
Functional: GGA-PBE
Structure: optimized geometry

The structure in POSCAR format:
```
CuBPb
1.0
3.923 0.000 0.000
-1.559 4.901 0.000
-1.068 -2.453 5.918
Cu B Pb
2 2 2
direct
0.000 0.000 0.000
0.001 0.500 0.000
0.430 0.835 0.999
0.570 0.166 0.001
0.342 0.330 0.668
0.661 0.672 0.332
```

Calculated values
Density ... 8.2 g/cm³
SG ... No. 1
Total magnetization ... 0.000 μB/atom

a wins, 0.136 eV/atom ahead of the next structure.